DFT (PBE) results for a relaxed Hf4AlAs crystal.

Lattice parameters (Å, degrees): 5.3578 6.6470 6.6470 90.00 90.00 90.00
Positions (direct):
Hf 0.0000 0.3482 0.1563
As 0.2500 0.5000 0.5000
Hf 0.0000 0.8437 0.3482
Al 0.7500 0.0000 0.0000
Hf 0.5000 0.3482 0.8437
Hf 0.0000 0.1563 0.6518
Al 0.2500 0.0000 0.0000
As 0.7500 0.5000 0.5000
Hf 0.5000 0.6518 0.1563
Hf 0.5000 0.8437 0.6518
Hf 0.5000 0.1563 0.3482
Hf 0.0000 0.6518 0.8437

Properties
The density of states at the Fermi level is 2.859 states/eV/f.u. Its formation energy is -555 meV/atom. The energy above the lowest structure with this stoichiometry is 0.0000 eV per atom. The value obtained for the density is 11.446 g/cm3. The value obtained for the total magnetization is 0.00 μB/atom.

DFT (PBE) results for a relaxed SrAgP2 crystal.

Lattice parameters (Å, degrees): 4.1023 4.5082 4.5082 90.00 90.00 90.00
Positions (direct):
P 0.0000 0.5000 0.5000
Ag 0.5000 0.0000 0.5000
Sr 0.5000 0.5000 0.0000
P 0.0000 0.0000 0.0000

Properties
The density of states at the Fermi level is 1.784 states/eV/f.u. Its formation energy is -89 meV/atom. The value obtained for the density is 5.127 g/cm3. The value obtained for the total magnetization is 0.00 μB/atom.

DFT (PBE) results for a relaxed Pa3Co2Ni crystal.

Lattice parameters (Å, degrees): 5.9922 6.6223 6.5449 104.97 117.24 90.00
Positions (direct):
Pa 0.7300 0.8884 0.6499
Co 0.4582 0.4796 0.6798
Co 0.7783 0.0204 0.3202
Co 0.2217 0.9796 0.6798
Pa 0.0801 0.6116 0.3501
Ni 0.1442 0.2500 0.0000
Pa 0.3791 0.7500 0.0000
Co 0.5418 0.5204 0.3202
Pa 0.9199 0.3884 0.6499
Ni 0.8558 0.7500 0.0000
Pa 0.2700 0.1116 0.3501
Pa 0.6209 0.2500 0.0000

Properties
The density of states at the Fermi level is 7.261 states/eV/f.u. Its formation energy is -291 meV/atom. The value obtained for the density is 13.072 g/cm3. The value obtained for the total magnetization is 0.00 μB/atom.

DFT (PBE) results for a relaxed ZrIrRh2 crystal.

Lattice parameters (Å, degrees): 4.5068 4.5068 4.5068 60.00 60.00 60.00
Site moments in Bohr magnetons follow the coordinates.
Positions (direct):
Rh 0.2500 0.2500 0.2500  0.23
Zr 0.0000 0.0000 0.0000  -0.01
Ir 0.5000 0.5000 0.5000  0.38
Rh 0.7500 0.7500 0.7500  0.23

Properties
The density of states at the Fermi level is 8.359 states/eV/f.u. Its formation energy is -265 meV/atom. The value obtained for the density is 12.551 g/cm3. The value obtained for the total magnetization is 0.21 μB/atom.

DFT (PBE) results for a relaxed Li2BPH crystal.

Lattice parameters (Å, degrees): 4.7497 3.1722 4.7497 90.00 90.00 90.00
Positions (direct):
Li 0.5000 0.0000 0.0000
Li 0.0000 0.0000 0.5000
H 0.0000 0.5000 0.0000
P 0.0000 0.0000 0.0000
B 0.5000 0.5000 0.5000

Properties
The density of states at the Fermi level is 3.713 states/eV/f.u. The value obtained for the density is 1.315 g/cm3. The value obtained for the total magnetization is 0.00 μB/atom. For the total energy, the calculation gives -3.10 eV/atom.

DFT (PBE) results for a relaxed Ga2AgSO crystal.

Lattice parameters (Å, degrees): 5.2562 4.6225 5.2562 90.00 90.00 90.00
Site moments in Bohr magnetons follow the coordinates.
Positions (direct):
Ga 0.0000 0.0000 0.5000  -0.03
O 0.5000 0.5000 0.5000  0.89
Ag 0.0000 0.0000 0.0000  0.00
S 0.0000 0.5000 0.0000  0.09
Ga 0.5000 0.0000 0.0000  -0.03

Properties
The density of states at the Fermi level is 4.546 states/eV/f.u. The calculation puts the uncorrected formation energy at 628 meV/atom. The value obtained for the density is 3.841 g/cm3. The value obtained for the total magnetization is 0.22 μB/atom.

DFT (PBE) results for a relaxed SrBeCuPt2 crystal.

Lattice parameters (Å, degrees): 4.4226 4.4226 4.4632 90.00 90.00 90.00
Positions (direct):
Pt 0.0000 0.5000 0.0000
Pt 0.5000 0.0000 0.0000
Be 0.0000 0.0000 0.0000
Cu 0.0000 0.0000 0.5000
Sr 0.5000 0.5000 0.5000

Properties
The density of states at the Fermi level is 2.263 states/eV/f.u. Its formation energy is -395 meV/atom. The value obtained for the density is 10.468 g/cm3. The value obtained for the total magnetization is 0.00 μB/atom.

DFT (PBE) results for a relaxed DyThCoHg crystal.

Lattice parameters (Å, degrees): 3.9325 3.9360 8.0410 90.00 104.20 120.02
Positions (direct):
Th 0.0926 0.9443 0.0531
Dy 0.5049 0.1503 0.6701
Co 0.3067 0.5513 0.8727
Hg 0.9738 0.3849 0.3738

Properties
The density of states at the Fermi level is 3.861 states/eV/f.u. Its formation energy is -286 meV/atom. The value obtained for the density is 10.510 g/cm3. The value obtained for the total magnetization is 0.00 μB/atom.

DFT (PBE) results for a relaxed LaTbPb2 crystal.

Lattice parameters (Å, degrees): 4.5809 5.1281 5.1281 90.00 90.00 90.00
Positions (direct):
Pb 0.0000 0.0000 0.5000
La 0.5000 0.0000 0.0000
Pb 0.0000 0.5000 0.0000
Tb 0.5000 0.5000 0.5000

Properties
The density of states at the Fermi level is 3.927 states/eV/f.u. Its formation energy is -505 meV/atom. The value obtained for the density is 9.818 g/cm3. The value obtained for the total magnetization is 0.00 μB/atom.

DFT (PBE) results for a relaxed Pm6Dy16Th7 crystal.

Lattice parameters (Å, degrees): 11.2822 11.2822 11.2822 60.00 60.00 60.00
Positions (direct):
Th 0.5000 0.0000 0.0000
Pm 0.2580 0.7420 0.7420
Th 0.0000 0.5000 0.0000
Pm 0.2580 0.2580 0.7420
Th 0.0000 0.5000 0.5000
Dy 0.8708 0.8708 0.3877
Dy 0.8708 0.3877 0.8708
Dy 0.0372 0.6543 0.6543
Dy 0.1292 0.1292 0.1292
Dy 0.9628 0.3457 0.3457
Dy 0.3877 0.8708 0.8708
Pm 0.7420 0.2580 0.7420
Dy 0.6543 0.6543 0.0372
Dy 0.6543 0.0372 0.6543
Th 0.0000 0.0000 0.0000
Dy 0.6123 0.1292 0.1292
Dy 0.6543 0.6543 0.6543
Dy 0.8708 0.8708 0.8708
Dy 0.3457 0.3457 0.3457
Pm 0.7420 0.2580 0.2580
Dy 0.3457 0.9628 0.3457
Dy 0.1292 0.1292 0.6123
Dy 0.1292 0.6123 0.1292
Dy 0.3457 0.3457 0.9628
Th 0.5000 0.5000 0.0000
Pm 0.2580 0.7420 0.2580
Th 0.0000 0.0000 0.5000
Pm 0.7420 0.7420 0.2580
Th 0.5000 0.0000 0.5000

Properties
The density of states at the Fermi level is 48.877 states/eV/f.u. Its formation energy is 258 meV/atom. The value obtained for the density is 8.330 g/cm3. The value obtained for the total magnetization is 0.00 μB/atom.

DFT (PBE) results for a relaxed Hf2Pd6Au crystal.

Lattice parameters (Å, degrees): 4.0498 4.9702 8.5305 72.90 76.27 65.96
Positions (direct):
Au 0.0000 0.5000 0.5000
Pd 0.9970 0.1733 0.8328
Pd 0.3370 0.2716 0.0545
Pd 0.6652 0.0600 0.6097
Hf 0.3244 0.6166 0.7346
Pd 0.0030 0.8267 0.1672
Pd 0.3348 0.9400 0.3903
Pd 0.6630 0.7284 0.9455
Hf 0.6756 0.3834 0.2654

Properties
The density of states at the Fermi level is 6.191 states/eV/f.u. Its formation energy is -684 meV/atom. The energy above the lowest structure with this stoichiometry is 0.0000 eV per atom. The value obtained for the density is 13.333 g/cm3. The value obtained for the total magnetization is 0.00 μB/atom.

DFT (PBE) results for a relaxed La4SmTe5 crystal.

Lattice parameters (Å, degrees): 4.5551 4.5551 16.4308 97.97 97.97 90.00
Positions (direct):
Te 0.9020 0.9020 0.8040
La 0.1991 0.1991 0.3981
Te 0.2997 0.2997 0.5994
Te 0.5000 0.5000 0.0000
La 0.4002 0.4002 0.8005
Te 0.0980 0.0980 0.1960
La 0.8009 0.8009 0.6019
Sm 0.0000 0.0000 0.0000
La 0.5998 0.5998 0.1995
Te 0.7003 0.7003 0.4006

Properties
The density of states at the Fermi level is 7.010 states/eV/f.u. The energy above the lowest structure with this stoichiometry is 0.0045 eV per atom. The calculation puts the uncorrected formation energy at -1548 meV/atom. The value obtained for the density is 6.676 g/cm3. The value obtained for the total magnetization is 0.00 μB/atom.

DFT (PBE) results for a relaxed LuBIr2 crystal.

Lattice parameters (Å, degrees): 3.3934 3.3934 6.6425 75.20 75.20 60.00
Positions (direct):
Ir 0.2804 0.2804 0.1589
B 0.0000 0.0000 0.0000
Lu 0.5000 0.5000 0.5000
Ir 0.7196 0.7196 0.8411

Properties
The density of states at the Fermi level is 1.999 states/eV/f.u. Its formation energy is -293 meV/atom. The value obtained for the density is 14.960 g/cm3. The value obtained for the total magnetization is 0.00 μB/atom.

DFT (PBE) results for a relaxed SrGdCdCu crystal.

Lattice parameters (Å, degrees): 5.3451 5.3451 5.3451 60.00 60.00 60.00
Site moments in Bohr magnetons follow the coordinates.
Positions (direct):
Sr 0.5000 0.5000 0.5000  0.00
Cu 0.2500 0.2500 0.2500  0.00
Gd 0.0000 0.0000 0.0000  7.04
Cd 0.7500 0.7500 0.7500  0.00

Properties
The density of states at the Fermi level is 3.995 states/eV/f.u. Its formation energy is -109 meV/atom. The value obtained for the density is 6.471 g/cm3. The value obtained for the total magnetization is 1.80 μB/atom.

DFT (PBE) results for a relaxed Pm8PrNd3 crystal.

Lattice parameters (Å, degrees): 8.6463 9.0597 9.0605 82.88 135.33 117.69
Positions (direct):
Pm 0.2488 0.6868 0.2701
Nd 0.5811 0.3527 0.9370
Pm 0.4181 0.3953 0.4793
Pm 0.4164 0.1360 0.2210
Pm 0.0852 0.7302 0.8124
Pm 0.2510 0.9469 0.5298
Pr 0.7501 0.8051 0.8873
Pm 0.9173 0.2805 0.8629
Pm 0.9152 0.0207 0.6035
Nd 0.5838 0.6126 0.1972
Pm 0.7516 0.0631 0.1466
Nd 0.0813 0.4701 0.5530

Properties
The density of states at the Fermi level is 17.322 states/eV/f.u. Its formation energy is 45 meV/atom. The value obtained for the density is 6.906 g/cm3. The value obtained for the total magnetization is 0.00 μB/atom.

DFT (PBE) results for a relaxed Hf6CoBi crystal.

Lattice parameters (Å, degrees): 5.8478 5.8478 5.8475 102.86 102.86 102.86
Positions (direct):
Bi 0.0000 0.0000 0.0000
Hf 0.7822 0.7822 0.3778
Hf 0.2179 0.6226 0.2179
Hf 0.2178 0.2178 0.6222
Hf 0.6226 0.2179 0.2179
Co 0.5000 0.5000 0.5000
Hf 0.7821 0.3774 0.7821
Hf 0.3774 0.7821 0.7821

Properties
The density of states at the Fermi level is 3.758 states/eV/f.u. Its formation energy is 81 meV/atom. The value obtained for the density is 12.208 g/cm3. The value obtained for the total magnetization is 0.00 μB/atom.

DFT (PBE) results for a relaxed LaTbPmSe3 crystal.

Lattice parameters (Å, degrees): 4.1035 7.2940 10.9116 102.81 90.00 90.00
Positions (direct):
Pm 0.7500 0.2351 0.9428
Se 0.2500 0.9458 0.8404
Se 0.2500 0.7246 0.4993
Tb 0.2500 0.1216 0.6298
Se 0.7500 0.0542 0.1596
Se 0.7500 0.2754 0.5007
Tb 0.7500 0.8784 0.3702
La 0.7500 0.6585 0.6944
La 0.2500 0.3415 0.3056
Se 0.7500 0.5489 0.1681
Pm 0.2500 0.7649 0.0572
Se 0.2500 0.4511 0.8319

Properties
The density of states at the Fermi level is 3.811 states/eV/f.u. The calculation puts the uncorrected formation energy at -1826 meV/atom. The value obtained for the density is 7.088 g/cm3. The value obtained for the total magnetization is 0.00 μB/atom.

DFT (PBE) results for a relaxed Tl3Cd4Hg2 crystal.

Lattice parameters (Å, degrees): 5.1021 6.0278 8.8398 85.73 90.00 115.04
Positions (direct):
Hg 0.7472 0.4945 0.3794
Cd 0.9118 0.8236 0.6496
Cd 0.0882 0.1764 0.3504
Cd 0.6918 0.3836 0.0576
Tl 0.5789 0.1578 0.7267
Tl 0.0000 0.0000 0.0000
Cd 0.3082 0.6164 0.9424
Tl 0.4211 0.8422 0.2733
Hg 0.2528 0.5055 0.6206

Properties
The density of states at the Fermi level is 3.451 states/eV/f.u. Its formation energy is 47 meV/atom. The energy above the lowest structure with this stoichiometry is 0.0091 eV per atom. The value obtained for the density is 9.903 g/cm3. The value obtained for the total magnetization is 0.00 μB/atom.

DFT (PBE) results for a relaxed ErSn2 crystal.

Lattice parameters (Å, degrees): 4.3338 4.4084 8.4245 105.09 90.00 90.00
Positions (direct):
Sn 0.7500 0.7481 0.4968
Sn 0.2500 0.2518 0.5032
Er 0.2500 0.9011 0.8029
Sn 0.2500 0.5646 0.1282
Sn 0.7500 0.4353 0.8718
Er 0.7500 0.0989 0.1971

Properties
The density of states at the Fermi level is 1.516 states/eV/f.u. Its formation energy is -562 meV/atom. The value obtained for the density is 8.649 g/cm3. The value obtained for the total magnetization is 0.00 μB/atom.

DFT (PBE) results for a relaxed Ba2ScPtO4 crystal.

Lattice parameters (Å, degrees): 5.7370 5.7370 5.7370 105.08 111.71 111.71
Site moments in Bohr magnetons follow the coordinates.
Positions (direct):
O 0.4591 0.8781 0.7230  0.05
Ba 0.5000 0.7500 0.2500  0.00
O 0.1550 0.2770 0.7361  0.05
Sc 0.5000 0.2500 0.7500  0.06
O 0.8450 0.5810 0.1219  0.05
O 0.5409 0.2639 0.4190  0.05
Pt 0.0000 0.5000 0.5000  0.64
Ba 0.0000 0.0000 0.0000  0.02

Properties
The density of states at the Fermi level is 0.197 states/eV/f.u. The calculation puts the uncorrected formation energy at -2087 meV/atom. The value obtained for the density is 6.640 g/cm3. The value obtained for the total magnetization is 0.13 μB/atom.

DFT (PBE) results for a relaxed CsNd2Se3 crystal.

Lattice parameters (Å, degrees): 4.8428 8.6240 11.3810 90.00 90.00 106.31
Positions (direct):
Se 0.0674 0.1348 0.7500
Se 0.3864 0.7728 0.9588
Nd 0.5208 0.0417 0.2500
Se 0.6136 0.2272 0.4588
Cs 0.7444 0.4888 0.7500
Se 0.3864 0.7728 0.5412
Nd 0.4792 0.9583 0.7500
Cs 0.2556 0.5112 0.2500
Nd 0.0000 0.0000 0.0000
Se 0.9326 0.8652 0.2500
Se 0.6136 0.2272 0.0412
Nd 0.0000 0.0000 0.5000

Properties
The density of states at the Fermi level is 2.454 states/eV/f.u. The energy above the lowest structure with this stoichiometry is 0.1055 eV per atom. The calculation puts the uncorrected formation energy at -1550 meV/atom. The value obtained for the density is 4.792 g/cm3. The value obtained for the total magnetization is 0.00 μB/atom.

DFT (PBE) results for a relaxed ZrAg2BF crystal.

Lattice parameters (Å, degrees): 4.4825 4.3318 4.4825 90.00 90.00 90.00
Positions (direct):
Zr 0.0000 0.5000 0.0000
Ag 0.5000 0.0000 0.0000
Ag 0.0000 0.0000 0.5000
B 0.5000 0.5000 0.5000
F 0.0000 0.0000 0.0000

Properties
The density of states at the Fermi level is 1.548 states/eV/f.u. The calculation puts the uncorrected formation energy at 446 meV/atom. The value obtained for the density is 6.425 g/cm3. The value obtained for the total magnetization is 0.00 μB/atom.

DFT (PBE) results for a relaxed AlO3F3 crystal.

Lattice parameters (Å, degrees): 4.8650 4.8650 4.8650 101.97 101.97 101.97
Site moments in Bohr magnetons follow the coordinates.
Positions (direct):
O 0.7405 0.7405 0.1242  1.40
F 0.8897 0.2562 0.2562  0.29
O 0.7405 0.1242 0.7405  1.40
O 0.1242 0.7405 0.7405  1.40
F 0.2562 0.8897 0.2562  0.29
Al 0.0244 0.0244 0.0244  -0.03
F 0.2562 0.2562 0.8897  0.29

Properties
The calculation puts the uncorrected formation energy at -660 meV/atom. The value obtained for the density is 2.061 g/cm3. The value obtained for the total magnetization is 0.86 μB/atom.

DFT (PBE) results for a relaxed Ho3ThAu2 crystal.

Lattice parameters (Å, degrees): 3.5910 3.5910 12.0039 90.00 90.00 90.00
Positions (direct):
Au 0.5000 0.5000 0.1492
Ho 0.0000 0.0000 0.2957
Ho 0.0000 0.0000 0.0000
Ho 0.0000 0.0000 0.7043
Th 0.5000 0.5000 0.5000
Au 0.5000 0.5000 0.8508

Properties
The density of states at the Fermi level is 7.436 states/eV/f.u. Its formation energy is -573 meV/atom. The value obtained for the density is 12.023 g/cm3. The value obtained for the total magnetization is 0.00 μB/atom.

DFT (PBE) results for a relaxed Tb2NdTc crystal.

Lattice parameters (Å, degrees): 3.4695 3.4695 9.1528 90.00 90.00 90.00
Positions (direct):
Tb 0.0000 0.0000 0.1810
Nd 0.5000 0.5000 0.5000
Tc 0.5000 0.5000 0.0000
Tb 0.0000 0.0000 0.8190

Properties
The density of states at the Fermi level is 6.913 states/eV/f.u. Its formation energy is 33 meV/atom. The energy above the lowest structure with this stoichiometry is 0.0815 eV per atom. The value obtained for the density is 8.442 g/cm3. The value obtained for the total magnetization is 0.00 μB/atom.